No. 1
# Cr2FeHg (PBE, optimized geometry)
# volume = 14.4 Å³ per atom
# calculated total energy = -0.2378 Ha/atom
# formation energy = 0.531 eV per atom
data_Cr2FeHg
_chemical_formula_sum 'Cr4 Fe2 Hg2'
_symmetry_space_group_name_H-M 'C 1 m 1'
_symmetry_Int_Tables_number 8
_symmetry_space_group_name_Hall 'C -2y'
_cell_length_a 9.5988
_cell_length_b 3.0527
_cell_length_c 4.4355
_cell_angle_alpha 90.00
_cell_angle_beta 117.21
_cell_angle_gamma 90.00
loop_
_atom_site_label
_atom_site_fract_x
_atom_site_fract_y
_atom_site_fract_z
Cr1 0.0000 0.0000 0.0000
Cr2 0.2034 0.5000 0.2030
Fe1 0.2498 0.0000 0.7503
Hg1 0.4789 0.0000 0.4791



No. 2
# TlCoCl2 (PBE, optimized geometry)
# volume = 24.3 Å³ per atom
# calculated total energy = -0.1370 Ha/atom
# formation energy from raw total energies = -0.436 eV per atom
# relative energy among the computed polymorphs = 9 meV/atom
data_TlCoCl2
_chemical_formula_sum 'Tl3 Co3 Cl6'
_symmetry_space_group_name_H-M 'R -3 m'
_symmetry_Int_Tables_number 166
_symmetry_space_group_name_Hall '-R 3 2"'
_cell_length_a 3.5274
_cell_length_b 3.5274
_cell_length_c 27.0889
_cell_angle_alpha 90.00
_cell_angle_beta 90.00
_cell_angle_gamma 120.00
loop_
_atom_site_label
_atom_site_fract_x
_atom_site_fract_y
_atom_site_fract_z
Tl1 0.0000 0.0000 0.0000
Co1 0.0000 0.0000 0.5000
Cl1 0.0000 0.0000 0.1164



No. 3
# RbTe2MoN (PBE, optimized geometry)
# volume = 34.0 Å³ per atom
# calculated total energy = -0.1121 Ha/atom
# formation energy from raw total energies = 2.232 eV per atom
# relative energy among the computed polymorphs = 2263 meV/atom
data_RbTe2MoN
_chemical_formula_sum 'Rb1 Te2 Mo1 N1'
_symmetry_space_group_name_H-M 'P 4/m m m'
_symmetry_Int_Tables_number 123
_symmetry_space_group_name_Hall '-P 4 2'
_cell_length_a 6.1957
_cell_length_b 6.1957
_cell_length_c 4.4249
_cell_angle_alpha 90.00
_cell_angle_beta 90.00
_cell_angle_gamma 90.00
loop_
_atom_site_label
_atom_site_fract_x
_atom_site_fract_y
_atom_site_fract_z
Rb1 0.0000 0.0000 0.0000
Te1 0.0000 0.5000 0.0000
Mo1 0.5000 0.5000 0.5000
N1 0.0000 0.0000 0.5000



No. 4
# Y3Hg3Au2 (PBE, optimized geometry)
# volume = 24.4 Å³ per atom
# calculated total energy = -0.1464 Ha/atom
# formation energy = -0.628 eV per atom
data_Y3Hg3Au2
_chemical_formula_sum 'Y3 Hg3 Au2'
_symmetry_space_group_name_H-M 'P -6 2 m'
_symmetry_Int_Tables_number 189
_symmetry_space_group_name_Hall 'P -6 -2'
_cell_length_a 7.7344
_cell_length_b 7.7344
_cell_length_c 3.7659
_cell_angle_alpha 90.00
_cell_angle_beta 90.00
_cell_angle_gamma 120.00
loop_
_atom_site_label
_atom_site_fract_x
_atom_site_fract_y
_atom_site_fract_z
Y1 0.0000 0.4102 0.0000
Hg1 0.0000 0.7702 0.5000
Au1 0.3333 0.6667 0.5000



No. 5
# TlSiPPd2 (PBE, optimized geometry)
# volume = 20.3 Å³ per atom
# calculated total energy = -0.1685 Ha/atom
# formation energy from raw total energies = 0.132 eV per atom
data_TlSiPPd2
_chemical_formula_sum 'Tl1 Si1 P1 Pd2'
_symmetry_space_group_name_H-M 'P 4/m m m'
_symmetry_Int_Tables_number 123
_symmetry_space_group_name_Hall '-P 4 2'
_cell_length_a 4.6415
_cell_length_b 4.6415
_cell_length_c 4.7077
_cell_angle_alpha 90.00
_cell_angle_beta 90.00
_cell_angle_gamma 90.00
loop_
_atom_site_label
_atom_site_fract_x
_atom_site_fract_y
_atom_site_fract_z
Tl1 0.0000 0.0000 0.0000
Si1 0.5000 0.5000 0.0000
P1 0.5000 0.5000 0.5000
Pd1 0.0000 0.5000 0.5000



No. 6
# LaZnIn2 (PBE, optimized geometry)
# volume = 26.7 Å³ per atom
# calculated total energy = -0.1133 Ha/atom
# formation energy = -0.163 eV per atom
data_LaZnIn2
_chemical_formula_sum 'La2 Zn2 In4'
_symmetry_space_group_name_H-M 'C 1 2/m 1'
_symmetry_Int_Tables_number 12
_symmetry_space_group_name_Hall '-C 2y'
_cell_length_a 6.5979
_cell_length_b 9.7184
_cell_length_c 3.3319
_cell_angle_alpha 90.00
_cell_angle_beta 90.64
_cell_angle_gamma 90.00
loop_
_atom_site_label
_atom_site_fract_x
_atom_site_fract_y
_atom_site_fract_z
La1 0.0000 0.0000 0.0000
Zn1 0.0000 0.5000 0.0000
In1 0.2500 0.2500 0.5000



No. 7
# RbNpI6 (PBE, optimized geometry)
# volume = 52.4 Å³ per atom
# calculated total energy = -0.1379 Ha/atom
# formation energy from raw total energies = -0.852 eV per atom
data_RbNpI6
_chemical_formula_sum 'Rb1 Np1 I6'
_symmetry_space_group_name_H-M 'P -1'
_symmetry_Int_Tables_number 2
_symmetry_space_group_name_Hall '-P 1'
_cell_length_a 8.0931
_cell_length_b 8.1106
_cell_length_c 8.7137
_cell_angle_alpha 62.42
_cell_angle_beta 62.57
_cell_angle_gamma 60.16
loop_
_atom_site_label
_atom_site_fract_x
_atom_site_fract_y
_atom_site_fract_z
Rb1 0.0000 0.0000 0.0000
Np1 0.5000 0.5000 0.5000
I1 0.1021 0.6840 0.7288
I2 0.3131 0.5139 0.2723
I3 0.4864 0.1013 0.7284



No. 8
# NaH2IO4 (PBE, optimized geometry)
# volume = 12.6 Å³ per atom
# calculated total energy = -0.1577 Ha/atom
data_NaH2IO4
_chemical_formula_sum 'Na2 H4 I2 O8'
_symmetry_space_group_name_H-M 'I 2 2 2'
_symmetry_Int_Tables_number 23
_symmetry_space_group_name_Hall 'I 2 2'
_cell_length_a 4.8616
_cell_length_b 6.3631
_cell_length_c 6.5270
_cell_angle_alpha 90.00
_cell_angle_beta 90.00
_cell_angle_gamma 90.00
loop_
_atom_site_label
_atom_site_fract_x
_atom_site_fract_y
_atom_site_fract_z
Na1 0.0000 0.0000 0.0000
H1 0.0000 0.5000 0.1971
I1 0.0000 0.0000 0.5000
O1 0.2220 0.4139 0.7894



No. 9
# LiTmSbAu (PBE, optimized geometry)
# volume = 22.0 Å³ per atom
# calculated total energy = -0.1535 Ha/atom
# formation energy from raw total energies = -0.731 eV per atom
data_LiTmSbAu
_chemical_formula_sum 'Li4 Tm4 Sb4 Au4'
_symmetry_space_group_name_H-M 'F -4 3 m'
_symmetry_Int_Tables_number 216
_symmetry_space_group_name_Hall 'F -4 2 3'
_cell_length_a 7.0586
_cell_length_b 7.0586
_cell_length_c 7.0586
_cell_angle_alpha 90.00
_cell_angle_beta 90.00
_cell_angle_gamma 90.00
loop_
_atom_site_label
_atom_site_fract_x
_atom_site_fract_y
_atom_site_fract_z
Li1 0.0000 0.0000 0.0000
Tm1 0.0000 0.0000 0.5000
Sb1 0.2500 0.2500 0.2500
Au1 0.2500 0.2500 0.7500



No. 10
# DyNi2BRu (PBE, optimized geometry)
# volume = 13.5 Å³ per atom
# calculated total energy = -0.2535 Ha/atom
# formation energy = -0.473 eV per atom
data_DyNi2BRu
_chemical_formula_sum 'Dy1 Ni2 B1 Ru1'
_symmetry_space_group_name_H-M 'P 4/m m m'
_symmetry_Int_Tables_number 123
_symmetry_space_group_name_Hall '-P 4 2'
_cell_length_a 4.0206
_cell_length_b 4.0206
_cell_length_c 4.1635
_cell_angle_alpha 90.00
_cell_angle_beta 90.00
_cell_angle_gamma 90.00
loop_
_atom_site_label
_atom_site_fract_x
_atom_site_fract_y
_atom_site_fract_z
Dy1 0.0000 0.0000 0.0000
Ni1 0.0000 0.5000 0.5000
B1 0.5000 0.5000 0.5000
Ru1 0.5000 0.5000 0.0000



No. 11
# HgPdPb4 (PBE, optimized geometry)
# volume = 27.5 Å³ per atom
# calculated total energy = -0.1275 Ha/atom
# formation energy = -0.081 eV per atom
# relative energy among the computed polymorphs = 24 meV/atom
data_HgPdPb4
_chemical_formula_sum 'Hg4 Pd4 Pb16'
_symmetry_space_group_name_H-M 'I 4/m c m'
_symmetry_Int_Tables_number 140
_symmetry_space_group_name_Hall '-I 4 2c'
_cell_length_a 7.2490
_cell_length_b 7.2490
_cell_length_c 12.5571
_cell_angle_alpha 90.00
_cell_angle_beta 90.00
_cell_angle_gamma 90.00
loop_
_atom_site_label
_atom_site_fract_x
_atom_site_fract_y
_atom_site_fract_z
Hg1 0.0000 0.0000 0.0000
Pd1 0.0000 0.0000 0.2500
Pb1 0.1599 0.3401 0.1433



No. 12
# Na2LaTbTe4 (PBE, optimized geometry)
# volume = 33.7 Å³ per atom
# calculated total energy = -0.1637 Ha/atom
# formation energy from raw total energies = -1.359 eV per atom
data_Na2LaTbTe4
_chemical_formula_sum 'Na2 La1 Tb1 Te4'
_symmetry_space_group_name_H-M 'P 1 2/m 1'
_symmetry_Int_Tables_number 10
_symmetry_space_group_name_Hall '-P 2y'
_cell_length_a 7.8737
_cell_length_b 4.5431
_cell_length_c 7.9905
_cell_angle_alpha 90.00
_cell_angle_beta 109.18
_cell_angle_gamma 90.00
loop_
_atom_site_label
_atom_site_fract_x
_atom_site_fract_y
_atom_site_fract_z
Na1 0.0000 0.0000 0.0000
Na2 0.5000 0.5000 0.0000
La1 0.0000 0.5000 0.5000
Tb1 0.5000 0.0000 0.5000
Te1 0.2560 0.0000 0.7393
Te2 0.2639 0.5000 0.2654



No. 13
# Ta2SbCl (PBE, optimized geometry)
# volume = 18.6 Å³ per atom
# calculated total energy = -0.2572 Ha/atom
# formation energy from raw total energies = 0.418 eV per atom
# relative energy among the computed polymorphs = 633 meV/atom
data_Ta2SbCl
_chemical_formula_sum 'Ta8 Sb4 Cl4'
_symmetry_space_group_name_H-M 'F m -3 m'
_symmetry_Int_Tables_number 225
_symmetry_space_group_name_Hall '-F 4 2 3'
_cell_length_a 6.6803
_cell_length_b 6.6803
_cell_length_c 6.6803
_cell_angle_alpha 90.00
_cell_angle_beta 90.00
_cell_angle_gamma 90.00
loop_
_atom_site_label
_atom_site_fract_x
_atom_site_fract_y
_atom_site_fract_z
Ta1 0.2500 0.2500 0.2500
Sb1 0.0000 0.0000 0.0000
Cl1 0.0000 0.0000 0.5000



No. 14
# LuSc2Se (PBE, optimized geometry)
# volume = 23.0 Å³ per atom
# calculated total energy = -0.2128 Ha/atom
# formation energy from raw total energies = -0.623 eV per atom
# relative energy among the computed polymorphs = 95 meV/atom
data_LuSc2Se
_chemical_formula_sum 'Lu1 Sc2 Se1'
_symmetry_space_group_name_H-M 'P 4/m m m'
_symmetry_Int_Tables_number 123
_symmetry_space_group_name_Hall '-P 4 2'
_cell_length_a 3.4681
_cell_length_b 3.4681
_cell_length_c 7.6402
_cell_angle_alpha 90.00
_cell_angle_beta 90.00
_cell_angle_gamma 90.00
loop_
_atom_site_label
_atom_site_fract_x
_atom_site_fract_y
_atom_site_fract_z
Lu1 0.0000 0.0000 0.0000
Sc1 0.5000 0.5000 0.2908
Se1 0.0000 0.0000 0.5000



No. 15
# Sr3Pd5O12 (PBE, optimized geometry)
# volume = 14.4 Å³ per atom
# calculated total energy = -0.2012 Ha/atom
# formation energy from raw total energies = -0.949 eV per atom
data_Sr3Pd5O12
_chemical_formula_sum 'Sr24 Pd40 O96'
_symmetry_space_group_name_H-M 'I a -3 d'
_symmetry_Int_Tables_number 230
_symmetry_space_group_name_Hall '-I 4bd 2c 3'
_cell_length_a 13.2224
_cell_length_b 13.2224
_cell_length_c 13.2224
_cell_angle_alpha 90.00
_cell_angle_beta 90.00
_cell_angle_gamma 90.00
loop_
_atom_site_label
_atom_site_fract_x
_atom_site_fract_y
_atom_site_fract_z
Sr1 0.0000 0.2500 0.1250
Pd1 0.0000 0.0000 0.0000
Pd2 0.0000 0.2500 0.3750
O1 0.0268 0.0496 0.6452



No. 16
# Li2Ta (PBE, optimized geometry)
# volume = 17.2 Å³ per atom
# calculated total energy = -0.1778 Ha/atom
# formation energy = 0.390 eV per atom
# relative energy among the computed polymorphs = 108 meV/atom
data_Li2Ta
_chemical_formula_sum 'Li4 Ta2'
_symmetry_space_group_name_H-M 'I 4/m m m'
_symmetry_Int_Tables_number 139
_symmetry_space_group_name_Hall '-I 4 2'
_cell_length_a 2.7320
_cell_length_b 2.7320
_cell_length_c 13.8305
_cell_angle_alpha 90.00
_cell_angle_beta 90.00
_cell_angle_gamma 90.00
loop_
_atom_site_label
_atom_site_fract_x
_atom_site_fract_y
_atom_site_fract_z
Li1 0.0000 0.0000 0.1658
Ta1 0.0000 0.0000 0.5000



No. 17
# BaCeHg (PBE, optimized geometry)
# volume = 37.7 Å³ per atom
# calculated total energy = -0.1053 Ha/atom
# formation energy = -0.146 eV per atom
# relative energy among the computed polymorphs = 0 meV/atom
data_BaCeHg
_chemical_formula_sum 'Ba6 Ce6 Hg6'
_symmetry_space_group_name_H-M 'R -3 m'
_symmetry_Int_Tables_number 166
_symmetry_space_group_name_Hall '-R 3 2"'
_cell_length_a 4.2913
_cell_length_b 4.2913
_cell_length_c 42.5926
_cell_angle_alpha 90.00
_cell_angle_beta 90.00
_cell_angle_gamma 120.00
loop_
_atom_site_label
_atom_site_fract_x
_atom_site_fract_y
_atom_site_fract_z
Ba1 0.0000 0.0000 0.1187
Ce1 0.0000 0.0000 0.3481
Hg1 0.0000 0.0000 0.2689



No. 18
# MoAs2Au (PBE, optimized geometry)
# volume = 17.8 Å³ per atom
# calculated total energy = -0.1996 Ha/atom
# formation energy = 0.420 eV per atom
# relative energy among the computed polymorphs = 387 meV/atom
data_MoAs2Au
_chemical_formula_sum 'Mo2 As4 Au2'
_symmetry_space_group_name_H-M 'C 1 2/m 1'
_symmetry_Int_Tables_number 12
_symmetry_space_group_name_Hall '-C 2y'
_cell_length_a 5.9683
_cell_length_b 8.6545
_cell_length_c 3.2012
_cell_angle_alpha 90.00
_cell_angle_beta 120.64
_cell_angle_gamma 90.00
loop_
_atom_site_label
_atom_site_fract_x
_atom_site_fract_y
_atom_site_fract_z
Mo1 0.0000 0.0000 0.0000
As1 0.2500 0.2500 0.5000
Au1 0.0000 0.5000 0.0000



No. 19
# TaV6Ir (PBE, optimized geometry)
# volume = 14.5 Å³ per atom
# calculated total energy = -0.3481 Ha/atom
# formation energy = -0.043 eV per atom
data_TaV6Ir
_chemical_formula_sum 'Ta2 V12 Ir2'
_symmetry_space_group_name_H-M 'C 1 2/m 1'
_symmetry_Int_Tables_number 12
_symmetry_space_group_name_Hall '-C 2y'
_cell_length_a 5.1716
_cell_length_b 8.8713
_cell_length_c 5.1531
_cell_angle_alpha 90.00
_cell_angle_beta 101.53
_cell_angle_gamma 90.00
loop_
_atom_site_label
_atom_site_fract_x
_atom_site_fract_y
_atom_site_fract_z
Ta1 0.0000 0.0000 0.0000
V1 0.0009 0.5000 0.7523
V2 0.2441 0.2517 0.2477
Ir1 0.0000 0.0000 0.5000



No. 20
# BeCrBr2 (PBE, optimized geometry)
# volume = 22.2 Å³ per atom
# calculated total energy = -0.1528 Ha/atom
# formation energy from raw total energies = 0.015 eV per atom
# relative energy among the computed polymorphs = 89 meV/atom
data_BeCrBr2
_chemical_formula_sum 'Be2 Cr2 Br4'
_symmetry_space_group_name_H-M 'I m m m'
_symmetry_Int_Tables_number 71
_symmetry_space_group_name_Hall '-I 2 2'
_cell_length_a 3.4551
_cell_length_b 3.6954
_cell_length_c 13.9346
_cell_angle_alpha 90.00
_cell_angle_beta 90.00
_cell_angle_gamma 90.00
loop_
_atom_site_label
_atom_site_fract_x
_atom_site_fract_y
_atom_site_fract_z
Be1 0.0000 0.0000 0.0000
Cr1 0.0000 0.0000 0.5000
Br1 0.0000 0.5000 0.3706



No. 21
# Tb5Nd2Er5 (PBE, optimized geometry)
# volume = 31.8 Å³ per atom
# calculated total energy = -0.1692 Ha/atom
# formation energy = 0.020 eV per atom
data_Tb5Nd2Er5
_chemical_formula_sum 'Tb10 Nd4 Er10'
_symmetry_space_group_name_H-M 'C 1 2/m 1'
_symmetry_Int_Tables_number 12
_symmetry_space_group_name_Hall '-C 2y'
_cell_length_a 15.0976
_cell_length_b 5.0267
_cell_length_c 11.2498
_cell_angle_alpha 90.00
_cell_angle_beta 116.55
_cell_angle_gamma 90.00
loop_
_atom_site_label
_atom_site_fract_x
_atom_site_fract_y
_atom_site_fract_z
Tb1 0.0000 0.0000 0.0000
Tb2 0.0848 0.0000 0.7506
Tb3 0.1661 0.0000 0.4998
Nd1 0.0830 0.5000 0.2488
Er1 0.0000 0.5000 0.5000
Er2 0.1682 0.5000 0.0004
Er3 0.2489 0.5000 0.7499



No. 22
# PmDyBi2 (PBE, optimized geometry)
# volume = 33.1 Å³ per atom
# calculated total energy = -0.1876 Ha/atom
# formation energy = -0.826 eV per atom
# relative energy among the computed polymorphs = 73 meV/atom
data_PmDyBi2
_chemical_formula_sum 'Pm2 Dy2 Bi4'
_symmetry_space_group_name_H-M 'P 63/m m c'
_symmetry_Int_Tables_number 194
_symmetry_space_group_name_Hall '-P 6c 2c'
_cell_length_a 4.5164
_cell_length_b 4.5164
_cell_length_c 14.9748
_cell_angle_alpha 90.00
_cell_angle_beta 90.00
_cell_angle_gamma 120.00
loop_
_atom_site_label
_atom_site_fract_x
_atom_site_fract_y
_atom_site_fract_z
Pm1 0.0000 0.0000 0.0000
Dy1 0.3333 0.6667 0.2500
Bi1 0.3333 0.6667 0.6256



No. 23
# HfSi2PbO8 (PBE, optimized geometry)
# volume = 15.2 Å³ per atom
# calculated total energy = -0.2797 Ha/atom
# formation energy from raw total energies = -2.263 eV per atom
data_HfSi2PbO8
_chemical_formula_sum 'Hf1 Si2 Pb1 O8'
_symmetry_space_group_name_H-M 'P -3 m 1'
_symmetry_Int_Tables_number 164
_symmetry_space_group_name_Hall '-P 3 2"'
_cell_length_a 5.4536
_cell_length_b 5.4536
_cell_length_c 7.0995
_cell_angle_alpha 90.00
_cell_angle_beta 90.00
_cell_angle_gamma 120.00
loop_
_atom_site_label
_atom_site_fract_x
_atom_site_fract_y
_atom_site_fract_z
Hf1 0.0000 0.0000 0.0000
Si1 0.3333 0.6667 0.2533
Pb1 0.0000 0.0000 0.5000
O1 0.1695 0.3391 0.1822
O2 0.3333 0.6667 0.4868